First-principles (PBE) data for PmHgPt after structural relaxation, as listed in Alexandria.

## Properties
Its crystal system is trigonal. Its magnetization is 0.0 μB/f.u. Its formation energy is -685 meV/atom.

Cell lengths 5.056, 5.056, 7.310 Å; angles 69.77, 69.77, 60.00 degrees
Atoms (fractional coordinates):
Hg1 0.118 0.118 0.646
Pt1 0.578 0.578 0.266
Pt2 0.422 0.422 0.734
Hg2 0.882 0.882 0.354
Pm1 0.720 0.720 0.839
Pm2 0.280 0.280 0.161